[1]
This record from Alexandria describes crystalline ScCo2Ir at its relaxed geometry. The functional is GGA-PBE.

The theoretical density is 10.66 g/cm3. For the energy of formation from the pure elements, the calculation gives -0.2589 eV/atom. The crystal system is tetragonal. As for the space group: P4/mmm (123).

a = 3.814 Å, b = 3.814 Å, c = 3.804 Å
α = 90.00°, β = 90.00°, γ = 90.00°
Element x y z (fractional)
Sc 0.000 0.000 0.000
Co 0.000 0.500 0.500
Co 0.500 0.000 0.500
Ir 0.500 0.500 0.000



[2]
This record from Alexandria describes crystalline GdErTcHg at its relaxed geometry. The functional is GGA-PBE.

The theoretical density is 11.45 g/cm3. For the energy of formation from the pure elements, the calculation gives -0.1479 eV/atom. The crystal system is cubic. As for the space group: F-43m (216).

a = 7.124 Å, b = 7.124 Å, c = 7.124 Å
α = 90.00°, β = 90.00°, γ = 90.00°
Element x y z (fractional)
Gd 0.000 0.000 0.000
Gd 0.000 0.500 0.500
Gd 0.500 0.000 0.500
Gd 0.500 0.500 0.000
Er 0.000 0.000 0.500
Er 0.000 0.500 0.000
Er 0.500 0.000 0.000
Er 0.500 0.500 0.500
Tc 0.250 0.250 0.250
Tc 0.250 0.750 0.750
Tc 0.750 0.250 0.750
Tc 0.750 0.750 0.250
Hg 0.250 0.250 0.750
Hg 0.250 0.750 0.250
Hg 0.750 0.250 0.250
Hg 0.750 0.750 0.750



[3]
This record from Alexandria describes crystalline Li2LuAg at its relaxed geometry. The functional is GGA-PBE.

The offset from the most stable computed form comes out at 0 kJ/mol of formula units. The theoretical density is 5.80 g/cm3. For the energy of formation from the pure elements, the calculation gives -0.0130 eV/atom. The crystal system is tetragonal. As for the space group: P4/mmm (123).

a = 4.120 Å, b = 4.120 Å, c = 5.006 Å
α = 90.00°, β = 90.00°, γ = 90.00°
Element x y z (fractional)
Li 0.000 0.500 0.000
Li 0.500 0.000 0.000
Lu 0.000 0.000 0.500
Ag 0.500 0.500 0.500



[4]
This record from Alexandria describes crystalline ScAg2W at its relaxed geometry. The functional is GGA-PBE.

The offset from the most stable computed form comes out at 71 kJ/mol of formula units. The theoretical density is 10.38 g/cm3. For the energy of formation from the pure elements, the calculation gives 0.3811 eV/atom. The crystal system is tetragonal. As for the space group: P4/mmm (123).

a = 2.839 Å, b = 2.839 Å, c = 8.823 Å
α = 90.00°, β = 90.00°, γ = 90.00°
Element x y z (fractional)
Sc 0.000 0.000 0.000
Ag 0.500 0.500 0.256
Ag 0.500 0.500 0.744
W 0.000 0.000 0.500



[5]
This record from Alexandria describes crystalline MnAl2In at its relaxed geometry. The functional is GGA-PBE.

The theoretical density is 5.78 g/cm3. For the energy of formation from the pure elements, the calculation gives 0.1355 eV/atom. The crystal system is tetragonal. As for the space group: P4mm (99).

a = 3.310 Å, b = 3.310 Å, c = 5.864 Å
α = 90.00°, β = 90.00°, γ = 90.00°
Element x y z (fractional)
Mn 0.000 0.000 0.000
Al 0.000 0.000 0.420
Al 0.500 0.500 0.175
In 0.500 0.500 0.716



[6]
This record from Alexandria describes crystalline LiMn2Os at its relaxed geometry. The functional is GGA-PBE.

The theoretical density is 9.59 g/cm3. For the energy of formation from the pure elements, the calculation gives 0.2175 eV/atom. The crystal system is tetragonal. As for the space group: P4/mmm (123).

a = 4.365 Å, b = 4.365 Å, c = 2.789 Å
α = 90.00°, β = 90.00°, γ = 90.00°
Element x y z (fractional)
Li 0.000 0.000 0.000
Mn 0.000 0.500 0.500
Mn 0.500 0.000 0.500
Os 0.500 0.500 0.000